Entry 1:
A plane-wave DFT calculation with PBE was carried out for Cr3HgC after structural relaxation.

```
5
Lattice="5.1238 0.0000 0.0000 0.0000 5.1238 0.0000 0.0000 0.0000 5.1238" Properties=species:S:1:pos:R:3 pbc="T T T"
Cr 0.0000 0.0000 2.5619
Cr 0.0000 2.5619 0.0000
Cr 2.5619 0.0000 0.0000
Hg 0.0000 0.0000 0.0000
C 2.5619 2.5619 2.5619
```

**Formation energy**: 2.705 eV/atom
**Total magnetic moment**: 11.8 μB/f.u.
**E_tot**: -4.9746 eV per atom
**Relative energy among the computed polymorphs**: 12.089 eV per formula unit

***

Entry 2:
A plane-wave DFT calculation with PBE was carried out for Al2PH6 after structural relaxation.

```
9
Lattice="0.0000 3.5334 3.5334 3.5334 0.0000 3.5334 3.5334 3.5334 0.0000" Properties=species:S:1:pos:R:3 pbc="T T T"
Al 1.7667 1.7667 1.7667
Al 5.3001 5.3001 5.3001
P 0.0000 0.0000 0.0000
H 3.5334 3.5334 1.5502
H 3.5334 1.5502 3.5334
H 5.5166 3.5334 3.5334
H 1.5502 3.5334 3.5334
H 3.5334 5.5166 3.5334
H 3.5334 3.5334 5.5166
```

**Total magnetic moment**: 0.0 μB/f.u.
**E_tot**: -3.1775 eV per atom

***

Entry 3:
A plane-wave DFT calculation with PBE was carried out for TmBO4 after structural relaxation.

```
12
Lattice="-2.3280 2.3280 5.5031 2.3280 -2.3280 5.5031 2.3280 2.3280 -5.5031" Properties=species:S:1:pos:R:3 pbc="T T T"
Tm 0.0000 1.1640 1.3758
Tm 2.3280 1.1640 4.1273
B 2.3280 1.1640 -1.3758
B 0.0000 1.1640 6.8789
O 1.1875 0.6403 -0.6020
O 1.8043 -0.0235 2.1495
O 1.8043 2.3045 -2.1495
O 1.1405 -0.6403 4.9010
O 1.1875 2.9683 0.6020
O 0.5237 0.0235 7.6526
O 0.5237 2.3515 3.3536
O 1.1405 1.6877 6.1051
```

**Uncorrected formation energy**: -2268 meV/atom
**Total magnetic moment**: 2.0 μB/f.u.
**E_tot**: -7.4317 eV per atom

***

Entry 4:
A plane-wave DFT calculation with PBE was carried out for Pr8HoTh4 after structural relaxation.

```
13
Lattice="5.7452 3.3170 4.3864 -5.7452 3.3170 4.3864 0.0000 -6.6339 4.3864" Properties=species:S:1:pos:R:3 pbc="T T T"
Pr 0.0000 -3.3789 5.2533
Pr -2.9262 1.6895 5.2533
Pr 0.0000 0.0000 3.1122
Pr -2.9262 -1.6895 7.9059
Pr 2.9262 1.6895 5.2533
Pr 0.0000 0.0000 10.0469
Pr 2.9262 -1.6895 7.9059
Pr 0.0000 3.3789 7.9059
Ho 0.0000 0.0000 6.5796
Th 0.0000 0.0000 0.0000
Th -2.8726 -1.6585 4.3864
Th -2.8726 1.6585 8.7728
Th 0.0000 3.3170 4.3864
```

**Formation energy**: 0.546 eV/atom
**Total magnetic moment**: 0.0 μB/f.u.
**E_tot**: -5.0308 eV per atom

***

Entry 5:
A plane-wave DFT calculation with PBE was carried out for YFeCo2H8 after structural relaxation.

```
12
Lattice="2.1944 1.2669 5.1568 -2.1944 1.2669 5.1568 0.0000 -2.5339 5.1568" Properties=species:S:1:pos:R:3 pbc="T T T"
Y 0.0000 0.0000 0.0000
Fe 0.0000 0.0000 7.7352
Co 0.0000 0.0000 3.1219
Co 0.0000 0.0000 12.3484
H -0.5702 -1.3813 6.9837
H -1.4814 -0.1968 8.4866
H 0.0000 0.0000 4.7265
H -0.9111 1.1845 6.9837
H 0.9111 -1.1845 8.4866
H 0.0000 0.0000 10.7438
H 1.4814 0.1968 6.9837
H 0.5702 1.3813 8.4866
```

**Total magnetic moment**: 2.5 μB/f.u.
**E_tot**: -4.8101 eV per atom

***

Entry 6:
A plane-wave DFT calculation with PBE was carried out for TaCuAg2 after structural relaxation.

```
4
Lattice="2.7160 0.0000 0.0000 0.0000 4.6506 0.0000 -0.8040 0.0000 5.2401" Properties=species:S:1:pos:R:3 pbc="T T T"
Ta 0.0000 0.0000 0.0000
Cu 0.9560 0.0000 2.6201
Ag 0.3231 2.3253 3.8882
Ag 1.5889 2.3253 1.3519
```

**Formation energy**: 0.337 eV/atom
**Total magnetic moment**: 0.0 μB/f.u.
**E_tot**: -5.0754 eV per atom
**Relative energy among the computed polymorphs**: 0.687 eV per formula unit

***

Entry 7:
A plane-wave DFT calculation with PBE was carried out for Ti3Co4Cu after structural relaxation.

```
8
Lattice="2.0676 1.1937 6.7480 -2.0676 1.1937 6.7480 0.0000 -2.3874 6.7480" Properties=species:S:1:pos:R:3 pbc="T T T"
Ti 0.0000 0.0000 0.0000
Ti 0.0000 0.0000 4.9041
Ti 0.0000 0.0000 15.3399
Co 0.0000 0.0000 2.4129
Co 0.0000 0.0000 7.5256
Co 0.0000 0.0000 12.7184
Co 0.0000 0.0000 17.8310
Cu 0.0000 0.0000 10.1220
```

**Formation energy**: -0.333 eV/atom
**Total magnetic moment**: 0.0 μB/f.u.
**E_tot**: -7.3590 eV per atom

***

Entry 8:
A plane-wave DFT calculation with PBE was carried out for Mg3AgHg after structural relaxation.

```
10
Lattice="5.7358 0.0000 0.0000 0.0000 4.7641 0.0000 -2.7332 0.0000 7.4712" Properties=species:S:1:pos:R:3 pbc="T T T"
Mg -0.3607 1.1910 3.6213
Mg 0.8437 3.5731 2.0083
Mg -0.7023 1.1910 6.8403
Mg 3.7049 3.5731 0.6309
Mg 2.1589 1.1910 5.4628
Mg 3.3633 3.5731 3.8499
Ag -2.3327 3.5731 6.6701
Ag 5.3353 1.1910 0.8011
Hg 0.3472 3.5731 5.1442
Hg 2.6554 1.1910 2.3270
```

**Formation energy**: -0.195 eV/atom
**Total magnetic moment**: 0.0 μB/f.u.
**E_tot**: -1.7828 eV per atom
**Relative energy among the computed polymorphs**: 0.000 eV per formula unit